1) VASP calculation (PBE) on KBe2Fe2 after structural relaxation.

Geometry as extended XYZ:
```
5
Lattice="-2.090 2.090 5.896 2.090 -2.090 5.896 2.090 2.090 -5.896" Properties=species:S:1:pos:R:3 pbc="T T T"
K 0.000 0.000 0.000
Be 2.090 0.000 2.948
Be 0.000 2.090 2.948
Fe 0.000 0.000 3.193
Fe 0.000 0.000 8.599
```

Output
calculated volume	20.6	A^3/atom
symmetry	I4/mmm, No. 139

=====

2) VASP calculation (PBE) on KBe2Fe2 after structural relaxation.

Geometry as extended XYZ:
```
10
Lattice="7.443 0.000 0.000 0.000 7.443 0.000 0.000 0.000 2.499" Properties=species:S:1:pos:R:3 pbc="T T T"
K 0.000 0.000 0.000
K 3.722 3.722 0.000
Be 1.208 2.513 1.249
Be 2.513 6.235 1.249
Be 4.930 1.208 1.249
Be 6.235 4.930 1.249
Fe 0.826 4.547 0.000
Fe 2.896 0.826 0.000
Fe 4.547 6.617 0.000
Fe 6.617 2.896 0.000
```

Output
calculated volume	13.8	A^3/atom
symmetry	P4/mbm, No. 127

=====

Stability ranking, top entry: 2); the second entry is 139 meV/atom less favorable.

=====

1) VASP calculation (PBE) on KBeFe3 after structural relaxation.

Geometry as extended XYZ:
```
5
Lattice="4.328 0.000 0.000 0.000 4.328 0.000 0.000 0.000 4.328" Properties=species:S:1:pos:R:3 pbc="T T T"
K 0.000 0.000 0.000
Be 2.164 2.164 2.164
Fe 0.000 2.164 2.164
Fe 2.164 0.000 2.164
Fe 2.164 2.164 0.000
```

Output
calculated volume	16.2	A^3/atom
symmetry	Pm-3m, No. 221

=====

2) VASP calculation (PBE) on KBeFe3 after structural relaxation.

Geometry as extended XYZ:
```
5
Lattice="4.406 0.000 0.000 0.000 4.406 0.000 0.000 0.000 4.406" Properties=species:S:1:pos:R:3 pbc="T T T"
K 0.000 0.000 0.000
Be 2.203 2.203 2.203
Fe 0.000 0.000 2.203
Fe 0.000 2.203 0.000
Fe 2.203 0.000 0.000
```

Output
calculated volume	17.1	A^3/atom
symmetry	Pm-3m, No. 221

=====

Stability ranking, top entry: 1); the second entry is 1589 meV/atom less favorable.

=====

1) VASP calculation (PBE) on LaBe2Fe after structural relaxation.

Geometry as extended XYZ:
```
4
Lattice="2.687 -3.328 0.000 2.687 3.328 0.000 -0.371 0.000 3.787" Properties=species:S:1:pos:R:3 pbc="T T T"
La 0.000 0.000 0.000
Be 2.502 0.993 1.893
Be 2.687 -0.104 0.000
Fe 2.502 -1.154 1.893
```

Output
calculated volume	16.9	A^3/atom
symmetry	C2, No. 5

=====

2) VASP calculation (PBE) on LaBe2Fe after structural relaxation.

Geometry as extended XYZ:
```
4
Lattice="-2.005 2.005 3.745 2.005 -2.005 3.745 2.005 2.005 -3.745" Properties=species:S:1:pos:R:3 pbc="T T T"
La 0.000 0.000 0.000
Be 2.005 0.000 1.873
Be 0.000 2.005 1.873
Fe 0.000 0.000 3.745
```

Output
calculated volume	15.1	A^3/atom
symmetry	I4/mmm, No. 139

=====

3) VASP calculation (PBE) on LaBe2Fe after structural relaxation.

Geometry as extended XYZ:
```
4
Lattice="3.100 0.000 0.000 0.000 3.916 0.000 -1.515 0.000 5.046" Properties=species:S:1:pos:R:3 pbc="T T T"
La 0.000 0.000 0.000
Be 0.037 1.958 3.238
Be 1.548 1.958 1.808
Fe -0.758 0.000 2.523
```

Output
calculated volume	15.3	A^3/atom
symmetry	P2/m, No. 10

=====

4) VASP calculation (PBE) on LaBe2Fe after structural relaxation.

Geometry as extended XYZ:
```
4
Lattice="4.749 0.000 0.000 0.000 4.749 0.000 0.000 0.000 2.877" Properties=species:S:1:pos:R:3 pbc="T T T"
La 0.000 0.000 0.000
Be 0.000 2.374 1.438
Be 2.374 0.000 1.438
Fe 2.374 2.374 0.000
```

Output
calculated volume	16.2	A^3/atom
symmetry	P4/mmm, No. 123

=====

Stability ranking, top entry: 3); the second entry is 102 meV/atom less favorable.

=====

1) VASP calculation (PBE) on LaBe2Fe after structural relaxation.

Geometry as extended XYZ:
```
4
Lattice="2.827 0.000 0.000 0.000 3.079 0.000 0.000 0.000 6.668" Properties=species:S:1:pos:R:3 pbc="T T T"
La 0.000 0.000 0.000
Be 1.413 1.540 2.299
Be 1.413 1.540 4.368
Fe 0.000 0.000 3.334
```

Output
calculated volume	14.5	A^3/atom
symmetry	Pmmm, No. 47

=====

2) VASP calculation (PBE) on LaBe2Fe after structural relaxation.

Geometry as extended XYZ:
```
4
Lattice="3.025 0.000 0.000 0.000 3.522 0.000 -1.437 0.000 5.894" Properties=species:S:1:pos:R:3 pbc="T T T"
La 0.000 0.000 0.000
Be 1.521 1.761 1.841
Be 1.511 0.000 2.987
Fe 0.008 1.761 3.414
```

Output
calculated volume	15.7	A^3/atom
symmetry	Pm, No. 6

=====

Stability ranking, top entry: 1); the second entry is 40 meV/atom less favorable.